# 1
A plane-wave DFT calculation with GGA-PBE was carried out for CsKTlSb after structural relaxation.

Unit cell a=6.0441 b=6.0441 c=6.0441 alpha=60.00 beta=60.00 gamma=60.00
Sites, in units of the cell vectors:
Cs  0.2500  0.2500  0.2500
Sb  0.7500  0.7500  0.7500
Tl  0.0000  0.0000  0.0000
K  0.5000  0.5000  0.5000

Its symmetry is F-43m. Its crystal system is cubic. The calculation puts the formation energy from raw total energies at -0.264 eV/atom. Its total energy is -9.50 eV per cell.



# 2
A plane-wave DFT calculation with GGA-PBE was carried out for ZrNbAg2 after structural relaxation.

Unit cell a=4.7820 b=4.7820 c=4.7820 alpha=60.00 beta=60.00 gamma=60.00
Sites, in units of the cell vectors:
Nb  0.5000  0.5000  0.5000
Ag  0.7500  0.7500  0.7500
Ag  0.2500  0.2500  0.2500
Zr  0.0000  0.0000  0.0000

Its symmetry is Fm-3m. Its crystal system is cubic. As for the formation energy from the elements: 1.1 eV per formula unit. Its total energy is -23.18 eV per cell.



# 3
A plane-wave DFT calculation with GGA-PBE was carried out for Ho2LuBi after structural relaxation.

Unit cell a=3.5874 b=3.5874 c=10.9768 alpha=80.60 beta=80.60 gamma=60.00
Sites, in units of the cell vectors:
Ho  0.2477  0.2477  0.2568
Ho  0.7523  0.7523  0.7432
Lu  0.0000  0.0000  0.0000
Bi  0.5000  0.5000  0.5000

Its symmetry is R-3m. Its crystal system is trigonal. As for the formation energy from the elements: -0.7 eV per formula unit. Its total energy is -18.30 eV per cell.



# 4
A plane-wave DFT calculation with GGA-PBE was carried out for YTm2UAs4 after structural relaxation.

Unit cell a=4.0683 b=7.0690 c=7.0652 alpha=109.20 beta=90.00 gamma=90.00
Sites, in units of the cell vectors:
Tm  0.5000  0.0000  0.5000
Tm  0.0000  0.5000  0.5000
U  0.5000  0.5000  0.0000
As  0.5000  0.2543  0.2515
As  0.0000  0.2507  0.7478
As  0.5000  0.7457  0.7485
As  0.0000  0.7493  0.2522
Y  0.0000  0.0000  0.0000

Its symmetry is P2/m. Its crystal system is monoclinic. As for the formation energy from the elements: -10.5 eV per formula unit. Its total energy is -55.83 eV per cell.



# 5
A plane-wave DFT calculation with GGA-PBE was carried out for ScTa2TcTe after structural relaxation.

Unit cell a=4.8079 b=5.1169 c=4.8079 alpha=90.00 beta=90.00 gamma=90.00
Sites, in units of the cell vectors:
Te  0.5000  0.5000  0.5000
Sc  0.0000  0.5000  0.0000
Ta  0.0000  0.0000  0.5000
Ta  0.5000  0.0000  0.0000
Tc  0.0000  0.0000  0.0000

Its symmetry is P4/mmm. Its crystal system is tetragonal. The calculation puts the formation energy from raw total energies at 0.632 eV/atom. Its total energy is -40.39 eV per cell.



# 6
A plane-wave DFT calculation with GGA-PBE was carried out for Rb4Nd3HfO8 after structural relaxation.

Unit cell a=7.1600 b=7.7886 c=7.1600 alpha=117.36 beta=120.00 gamma=90.00
Sites, in units of the cell vectors:
Nd  0.5000  0.5000  0.0000
Nd  0.5000  0.5000  0.5000
Nd  0.0000  0.5000  0.5000
O  0.7600  0.6718  0.9659
O  0.7941  0.3282  0.0341
O  0.2059  0.6718  0.9659
O  0.2400  0.3282  0.0341
O  0.2059  0.6718  0.4118
O  0.2725  0.3175  0.5450
O  0.7275  0.6825  0.4550
O  0.7941  0.3282  0.5882
Rb  0.5000  0.0000  0.5000
Rb  0.0000  0.0000  0.0000
Rb  0.5000  0.0000  0.0000
Rb  0.0000  0.0000  0.5000
Hf  0.0000  0.5000  0.0000

Its symmetry is R-3m. Its crystal system is trigonal. The calculation puts the formation energy from raw total energies at -2.502 eV/atom. Its total energy is -107.83 eV per cell.